No. 1
Compound: Mg2Rh
Source: Alexandria via LeMat-Bulk
Functional: PBE
Structure: optimized geometry

Structure (POSCAR):
```
Mg2Rh
1.0
-4.860 9.515 5.228
-7.386 6.282 6.889
7.522 -8.118 -4.358
Mg Rh
4 2
direct
0.814 0.314 0.500 Mg
0.686 0.186 0.500 Mg
0.436 0.436 0.000 Mg
0.564 0.564 0.000 Mg
0.250 0.750 0.500 Rh
0.000 0.000 0.000 Rh
```

=====

No. 2
Compound: Mg2Rh
Source: Alexandria via LeMat-Bulk
Functional: PBE
Structure: optimized geometry

Structure (POSCAR):
```
Mg2Rh
1.0
1.559 4.662 -0.144
-1.559 4.662 -0.144
0.000 0.228 7.259
Rh Mg
2 4
direct
0.021 0.021 0.533 Rh
0.257 0.257 0.033 Rh
0.574 0.574 0.229 Mg
0.704 0.704 0.729 Mg
0.305 0.305 0.404 Mg
0.973 0.973 0.905 Mg
```

=====

No. 3
Compound: Mg3Rh5
Source: Alexandria via LeMat-Bulk
Functional: PBE
Structure: optimized geometry

Structure (POSCAR):
```
Mg3Rh5
1.0
7.474 0.000 0.000
-3.737 6.473 0.000
0.000 0.000 5.060
Rh Mg
10 6
direct
0.218 0.000 0.250 Rh
0.667 0.333 0.500 Rh
0.000 0.218 0.250 Rh
0.218 0.218 0.750 Rh
0.000 0.782 0.750 Rh
0.333 0.667 0.500 Rh
0.667 0.333 0.000 Rh
0.782 0.782 0.250 Rh
0.333 0.667 0.000 Rh
0.782 0.000 0.750 Rh
0.602 0.000 0.250 Mg
0.000 0.398 0.750 Mg
0.000 0.602 0.250 Mg
0.398 0.000 0.750 Mg
0.398 0.398 0.250 Mg
0.602 0.602 0.750 Mg
```

**Distance to the lowest polymorph of the same formula**: 202 meV per atom

=====

It is found that the raw total energy values, taken in the order of the records, are -23.1; -22.9; -84.7 eV per cell.
It is found that the energy of formation values, taken in the order of the records, are -7.808; -7.080; -2.355 kcal/mol of atoms.
It is found that the density values, taken in the order of the records, are 4.40; 4.76; 7.97 Mg/m³.